VASP calculation (PBE-GGA) on NbRh after structural relaxation.

Computed properties:
ΔE_f   1.057 eV/atom
Total DFT energy (no corrections)   -7.653 eV/atom
Spin magnetization   0.0 μB per formula unit

Cell and atoms, written as CIF:
```
data_NbRh
_cell_length_a 7.044
_cell_length_b 7.044
_cell_length_c 7.044
_cell_angle_alpha 90.00
_cell_angle_beta 90.00
_cell_angle_gamma 90.00
_symmetry_space_group_name_H-M 'P m -3 n'
_symmetry_Int_Tables_number 223
_symmetry_space_group_name_Hall '-P 4n 2 3'
loop_
_atom_site_label
_atom_site_fract_x
_atom_site_fract_y
_atom_site_fract_z
_atom_site_occupancy
Nb1 0.000 0.250 0.500 1
Rh1 0.000 0.500 0.250 1
```

VASP calculation (PBE-GGA) on SnAs2Se6 after structural relaxation.

Computed properties:
Total DFT energy (no corrections)   -3.875 eV/atom
Raw formation energy   -0.07 eV per atom
Spin magnetization   0.0 μB per formula unit

Cell and atoms, written as CIF:
```
data_SnAs2Se6
_cell_length_a 14.523
_cell_length_b 12.533
_cell_length_c 6.639
_cell_angle_alpha 90.00
_cell_angle_beta 93.12
_cell_angle_gamma 90.00
_symmetry_space_group_name_H-M 'C 1 2/c 1'
_symmetry_Int_Tables_number 15
_symmetry_space_group_name_Hall '-C 2yc'
loop_
_atom_site_label
_atom_site_fract_x
_atom_site_fract_y
_atom_site_fract_z
_atom_site_occupancy
Sn1 0.000 0.189 0.250 1
As1 0.206 0.429 0.206 1
Se1 0.067 0.057 0.521 1
Se2 0.119 0.433 0.507 1
Se3 0.138 0.266 0.063 1
```

Which of these has the highest total DFT energy (no corrections)?
SnAs2Se6

Look up the total DFT energy (no corrections) of the second one.
-3.875 eV/atom